## Na3Tl2NiO6 (GGA+U)

Data for a geometry-optimized Na3Tl2NiO6 structure.

Summary:
The total energy is -4.4285 eV per atom. The calculation puts the spin magnetization at 3.05 Bohr magnetons per cell.

Unit cell a=5.706 b=5.706 c=5.815 alpha=99.45 beta=99.45 gamma=120.07
Fractional coordinates of all 12 atoms:
Na 0.162 0.838 0.500
Na 0.838 0.162 0.500
Na 0.500 0.500 0.500
Tl 0.332 0.668 0.000
Tl 0.668 0.332 0.000
Ni 0.000 0.000 0.000
O 0.929 0.626 0.784
O 0.770 0.770 0.208
O 0.071 0.374 0.216
O 0.626 0.929 0.784
O 0.230 0.230 0.792
O 0.374 0.071 0.216